Below is an optimized crystal structure of Ca2CoB10, with properties calculated at the PBE-GGA level.

Calculated values
ΔH_f (0 K): -373 meV/atom

Cell lengths 4.1722, 5.6106, 11.1800 Å; angles 90.00, 90.00, 90.00 degrees
Site moments in Bohr magnetons follow the coordinates.
Fractional coordinates of all 26 atoms:
B (0.2992, 0.8019, 0.8875)  0.00
B (0.2992, 0.6981, 0.3875)  0.00
B (0.7008, 0.6981, 0.3875)  0.00
Co (0.0000, 0.5000, 0.5000)  0.21
Ca (0.5000, 0.3039, 0.8649)  0.00
B (0.0000, 0.9727, 0.8140)  0.00
B (0.0000, 0.3369, 0.1982)  0.00
B (0.7008, 0.8019, 0.8875)  0.00
B (0.0000, 0.4727, 0.6860)  0.00
B (0.0000, 0.6279, 0.9592)  0.00
B (0.7008, 0.3019, 0.6125)  0.00
Ca (0.5000, 0.6961, 0.1351)  0.00
B (0.0000, 0.8369, 0.3018)  0.00
B (0.0000, 0.5273, 0.3140)  0.00
Ca (0.5000, 0.8039, 0.6351)  0.00
B (0.0000, 0.0273, 0.1860)  0.00
B (0.0000, 0.3721, 0.0408)  0.00
Ca (0.5000, 0.1961, 0.3649)  0.00
B (0.0000, 0.1279, 0.5408)  0.00
Co (0.0000, 0.0000, 0.0000)  0.21
B (0.7008, 0.1981, 0.1125)  0.00
B (0.2992, 0.3019, 0.6125)  0.00
B (0.0000, 0.6631, 0.8018)  0.00
B (0.0000, 0.1631, 0.6982)  0.00
B (0.0000, 0.8721, 0.4592)  0.00
B (0.2992, 0.1981, 0.1125)  0.00